(1)
A PBEsol-optimized structure of CaMgP2Se6. Source: Alexandria via LeMat-Bulk, functional SCAN.

Structure (POSCAR):
```
CaMgP2Se6
1.0
3.270 1.888 6.811
-3.270 1.888 6.811
0.000 -3.776 6.811
Ca Mg P Se
1 1 2 6
direct
0.000 0.000 0.000
0.652 0.652 0.652
0.272 0.272 0.272
0.381 0.381 0.381
0.066 0.707 0.462
0.245 0.558 0.915
0.462 0.066 0.707
0.558 0.915 0.245
0.707 0.462 0.066
0.915 0.245 0.558
```

Summary:
Final energy ... -16.450 eV per atom
Volume ... 25.23 Å³/atom
DOS at the Fermi energy ... 0.000 states/eV/atom
Energy relative to the elements, uncorrected ... -859 meV/atom



(2)
A PBEsol-optimized structure of CaMg2Pb2. Source: Alexandria via LeMat-Bulk, functional SCAN.

Structure (POSCAR):
```
CaMg2Pb2
1.0
-2.311 2.311 6.557
2.311 -2.311 6.557
2.311 2.311 -6.557
Ca Mg Pb
1 2 2
direct
0.000 0.000 0.000
0.250 0.750 0.500
0.750 0.250 0.500
0.387 0.387 0.000
0.613 0.613 0.000
```

Summary:
Final energy ... -34.644 eV per atom
Volume ... 28.02 Å³/atom
DOS at the Fermi energy ... 0.413 states/eV/atom
Energy of formation from the pure elements ... -2.049 eV per formula unit



(3)
A PBEsol-optimized structure of Ca4MgPb. Source: Alexandria via LeMat-Bulk, functional SCAN.

Structure (POSCAR):
```
Ca4MgPb
1.0
0.000 4.723 4.723
4.723 0.000 4.723
4.723 4.723 0.000
Ca Mg Pb
4 1 1
direct
0.125 0.125 0.125
0.125 0.125 0.626
0.125 0.626 0.125
0.626 0.125 0.125
0.500 0.500 0.500
0.750 0.750 0.750
```

Summary:
Final energy ... -19.710 eV per atom
Volume ... 35.11 Å³/atom
DOS at the Fermi energy ... 0.994 states/eV/atom
Energy of formation from the pure elements ... 1.146 eV per formula unit



(4)
A PBEsol-optimized structure of CaMg2Pd2. Source: Alexandria via LeMat-Bulk, functional SCAN.

Structure (POSCAR):
```
CaMg2Pd2
1.0
-2.084 2.084 5.912
2.084 -2.084 5.912
2.084 2.084 -5.912
Ca Mg Pd
1 2 2
direct
0.000 0.000 0.000
0.250 0.750 0.500
0.750 0.250 0.500
0.390 0.390 0.000
0.610 0.610 0.000
```

Summary:
Final energy ... -17.684 eV per atom
Volume ... 20.53 Å³/atom
DOS at the Fermi energy ... 0.364 states/eV/atom
Energy of formation from the pure elements ... -3.261 eV per formula unit
Offset from the most stable computed form ... 0 meV per atom



(5)
A PBEsol-optimized structure of CaMg2Pd2. Source: Alexandria via LeMat-Bulk, functional SCAN.

Structure (POSCAR):
```
CaMg2Pd2
1.0
7.840 0.000 0.000
0.000 7.840 0.000
0.000 0.000 3.043
Ca Mg Pd
2 4 4
direct
0.000 0.000 0.000
0.500 0.500 0.000
0.135 0.365 0.500
0.365 0.865 0.500
0.635 0.135 0.500
0.865 0.635 0.500
0.159 0.659 0.000
0.341 0.159 0.000
0.659 0.841 0.000
0.841 0.341 0.000
```

Summary:
Final energy ... -17.680 eV per atom
Volume ... 18.71 Å³/atom
DOS at the Fermi energy ... 0.321 states/eV/atom
Energy of formation from the pure elements ... -3.240 eV per formula unit
Offset from the most stable computed form ... 4 meV per atom



(6)
A PBEsol-optimized structure of CaMgPd3. Source: Alexandria via LeMat-Bulk, functional SCAN.

Structure (POSCAR):
```
CaMgPd3
1.0
4.653 0.000 0.000
0.000 4.653 0.000
0.000 0.000 4.653
Ca Mg Pd
1 1 3
direct
0.000 0.000 0.000
0.500 0.500 0.500
0.000 0.500 0.500
0.500 0.000 0.500
0.500 0.500 0.000
```

Summary:
Final energy ... -22.766 eV per atom
Volume ... 20.15 Å³/atom
DOS at the Fermi energy ... 0.296 states/eV/atom
Energy of formation from the pure elements ... -0.869 eV per formula unit



(7)
A PBEsol-optimized structure of CaPmMg2. Source: Alexandria via LeMat-Bulk, functional SCAN.

Structure (POSCAR):
```
CaPmMg2
1.0
0.000 3.864 3.864
3.864 0.000 3.864
3.864 3.864 0.000
Ca Pm Mg
1 1 2
direct
0.000 0.000 0.000
0.500 0.500 0.500
0.250 0.250 0.250
0.750 0.750 0.750
```

Summary:
Final energy ... -15.985 eV per atom
Volume ... 28.85 Å³/atom
DOS at the Fermi energy ... 0.905 states/eV/atom
Energy of formation from the pure elements ... -0.344 eV per formula unit



(8)
A PBEsol-optimized structure of Ca2MgPt2. Source: Alexandria via LeMat-Bulk, functional SCAN.

Structure (POSCAR):
```
Ca2MgPt2
1.0
-2.146 2.891 4.336
2.146 -2.891 4.336
2.146 2.891 -4.336
Ca Mg Pt
2 1 2
direct
0.200 0.200 0.000
0.800 0.800 0.000
0.500 0.000 0.500
0.232 0.500 0.732
0.768 0.500 0.268
```

Summary:
Final energy ... -33.978 eV per atom
Volume ... 21.52 Å³/atom
DOS at the Fermi energy ... 0.396 states/eV/atom
Energy of formation from the pure elements ... -5.201 eV per formula unit



(9)
A PBEsol-optimized structure of CaMg2Pt2. Source: Alexandria via LeMat-Bulk, functional SCAN.

Structure (POSCAR):
```
CaMg2Pt2
1.0
-2.066 2.066 5.921
2.066 -2.066 5.921
2.066 2.066 -5.921
Ca Mg Pt
1 2 2
direct
0.000 0.000 0.000
0.250 0.750 0.500
0.750 0.250 0.500
0.391 0.391 0.000
0.609 0.609 0.000
```

Summary:
Final energy ... -32.949 eV per atom
Volume ... 20.23 Å³/atom
DOS at the Fermi energy ... 0.347 states/eV/atom
Energy of formation from the pure elements ... -4.750 eV per formula unit
Offset from the most stable computed form ... 0 meV per atom



(10)
A PBEsol-optimized structure of Ca3MgPt. Source: Alexandria via LeMat-Bulk, functional SCAN.

Structure (POSCAR):
```
Ca3MgPt
1.0
5.503 0.000 0.000
0.000 5.503 0.000
0.000 0.000 5.503
Ca Mg Pt
3 1 1
direct
0.000 0.000 0.500
0.000 0.500 0.000
0.500 0.000 0.000
0.500 0.500 0.500
0.000 0.000 0.000
```

Summary:
Final energy ... -21.314 eV per atom
Volume ... 33.33 Å³/atom
DOS at the Fermi energy ... 0.517 states/eV/atom
Energy of formation from the pure elements ... -2.413 eV per formula unit



(11)
A PBEsol-optimized structure of CaMg2Pt2. Source: Alexandria via LeMat-Bulk, functional SCAN.

Structure (POSCAR):
```
CaMg2Pt2
1.0
7.857 0.000 0.000
0.000 7.857 0.000
0.000 0.000 2.963
Ca Mg Pt
2 4 4
direct
0.000 0.000 0.000
0.500 0.500 0.000
0.132 0.368 0.500
0.368 0.868 0.500
0.632 0.132 0.500
0.868 0.632 0.500
0.163 0.663 0.000
0.337 0.163 0.000
0.663 0.837 0.000
0.837 0.337 0.000
```

Summary:
Final energy ... -32.910 eV per atom
Volume ... 18.29 Å³/atom
DOS at the Fermi energy ... 0.289 states/eV/atom
Energy of formation from the pure elements ... -4.553 eV per formula unit
Offset from the most stable computed form ... 40 meV per atom



(12)
A PBEsol-optimized structure of Rb3CaMg. Source: Alexandria via LeMat-Bulk, functional SCAN.

Structure (POSCAR):
```
Rb3CaMg
1.0
7.068 0.000 0.000
0.000 7.068 0.000
0.000 0.000 7.068
Rb Ca Mg
3 1 1
direct
0.000 0.000 0.500
0.000 0.500 0.000
0.500 0.000 0.000
0.500 0.500 0.500
0.000 0.000 0.000
```

Summary:
Final energy ... -14.950 eV per atom
Volume ... 70.61 Å³/atom
DOS at the Fermi energy ... 0.828 states/eV/atom
Energy of formation from the pure elements ... 2.105 eV per formula unit



Question: The lowest volume belongs to which entry?
Answer: number 11